Computed, not measured: a relaxed structure of DyZnAg at the PBE-GGA level of DFT.

Cell lengths 3.6023, 3.6023, 5.4701 Å; angles 109.22, 109.22, 90.00 degrees
Last column: nearest neighbours and their distance in Å.
Atoms (fractional coordinates):
Dy1 0.9465 0.9465 0.8931  5 Ag 3.04-3.12, 5 Zn 3.07-3.14
Ag1 0.6330 0.6330 0.2660  4 Zn 2.87, 5 Dy 3.04-3.12
Zn1 0.2705 0.2705 0.5409  4 Ag 2.87, 5 Dy 3.07-3.14

Output
Space-group type ... No. 107
Calculated formation energy ... -0.239 eV/atom